Record 1
DFT (PBE) results for an optimized crystal structure of ScBiF3.

Results
Energy relative to the elements, uncorrected ... -11.75 eV per formula unit
DOS at the Fermi energy ... 8.5 states/eV per cell
Magnetic moment ... 0.0 μB/cell

Unit cell a=4.3319 b=4.3319 c=4.3319 alpha=90.00 beta=90.00 gamma=90.00
Atoms (fractional coordinates):
1 Sc 0.0000 0.0000 0.0000
2 Bi 0.5000 0.5000 0.5000
3 F 0.0000 0.0000 0.5000
4 F 0.0000 0.5000 0.0000
5 F 0.5000 0.0000 0.0000

=====

Record 2
DFT (PBE) results for an optimized crystal structure of Sc2Bi2F.

Results
Energy relative to the elements, uncorrected ... -5.60 eV per formula unit
DOS at the Fermi energy ... 6.6 states/eV per cell
Magnetic moment ... 0.0 μB/cell

Unit cell a=6.5228 b=6.5228 c=5.2446 alpha=90.00 beta=90.00 gamma=90.00
Atoms (fractional coordinates):
1 Sc 0.1705 0.3295 0.0000
2 Sc 0.3295 0.8295 0.0000
3 Sc 0.6705 0.1705 0.0000
4 Sc 0.8295 0.6705 0.0000
5 Bi 0.1712 0.6712 0.5000
6 Bi 0.3288 0.1712 0.5000
7 Bi 0.6712 0.8288 0.5000
8 Bi 0.8288 0.3288 0.5000
9 F 0.0000 0.0000 0.0000
10 F 0.5000 0.5000 0.0000

=====

Record 3
DFT (PBE) results for an optimized crystal structure of Sc2BiF.

Results
Energy relative to the elements, uncorrected ... -4.35 eV per formula unit
DOS at the Fermi energy ... 6.6 states/eV per cell
Magnetic moment ... 8.0 μB/cell

Unit cell a=6.9674 b=6.9674 c=6.9674 alpha=90.00 beta=90.00 gamma=90.00
Atoms (fractional coordinates):
1 Sc 0.2500 0.2500 0.2500
2 Sc 0.2500 0.2500 0.7500
3 Sc 0.2500 0.7500 0.2500
4 Sc 0.2500 0.7500 0.7500
5 Sc 0.7500 0.2500 0.2500
6 Sc 0.7500 0.2500 0.7500
7 Sc 0.7500 0.7500 0.2500
8 Sc 0.7500 0.7500 0.7500
9 Bi 0.0000 0.0000 0.0000
10 Bi 0.0000 0.5000 0.5000
11 Bi 0.5000 0.0000 0.5000
12 Bi 0.5000 0.5000 0.0000
13 F 0.0000 0.0000 0.5000
14 F 0.0000 0.5000 0.0000
15 F 0.5000 0.0000 0.0000
16 F 0.5000 0.5000 0.5000

=====

Record 4
DFT (PBE) results for an optimized crystal structure of ScBi2F2.

Results
Energy relative to the elements, uncorrected ... -8.96 eV per formula unit
DOS at the Fermi energy ... 3.6 states/eV per cell
Magnetic moment ... 0.0 μB/cell

Unit cell a=6.0217 b=6.0217 c=6.4442 alpha=90.00 beta=90.00 gamma=90.00
Atoms (fractional coordinates):
1 Sc 0.0000 0.0000 0.0000
2 Sc 0.5000 0.5000 0.0000
3 Bi 0.1989 0.3011 0.5000
4 Bi 0.3011 0.8011 0.5000
5 Bi 0.6989 0.1989 0.5000
6 Bi 0.8011 0.6989 0.5000
7 F 0.2392 0.7392 0.0000
8 F 0.2608 0.2392 0.0000
9 F 0.7392 0.7608 0.0000
10 F 0.7608 0.2608 0.0000

=====

Record 5
DFT (PBE) results for an optimized crystal structure of Sc2BiF2.

Results
Energy relative to the elements, uncorrected ... -11.35 eV per formula unit
DOS at the Fermi energy ... 0.6 states/eV per cell
Magnetic moment ... 2.0 μB/cell

Unit cell a=3.7905 b=3.7905 c=11.8313 alpha=90.00 beta=90.00 gamma=90.00
Atoms (fractional coordinates):
1 Sc 0.0000 0.0000 0.1358
2 Sc 0.0000 0.0000 0.8642
3 Sc 0.5000 0.5000 0.3642
4 Sc 0.5000 0.5000 0.6358
5 Bi 0.0000 0.0000 0.5000
6 Bi 0.5000 0.5000 0.0000
7 F 0.0000 0.5000 0.2500
8 F 0.0000 0.5000 0.7500
9 F 0.5000 0.0000 0.2500
10 F 0.5000 0.0000 0.7500

=====

Record 6
DFT (PBE) results for an optimized crystal structure of Sc2BiF.

Results
Energy relative to the elements, uncorrected ... -5.76 eV per formula unit
DOS at the Fermi energy ... 11.7 states/eV per cell
Magnetic moment ... 6.1 μB/cell

Unit cell a=6.9997 b=6.9997 c=6.7727 alpha=90.00 beta=90.00 gamma=90.00
Atoms (fractional coordinates):
1 Sc 0.1506 0.2500 0.1250
2 Sc 0.2500 0.6506 0.3750
3 Sc 0.2500 0.8494 0.8750
4 Sc 0.3494 0.2500 0.6250
5 Sc 0.6506 0.7500 0.6250
6 Sc 0.7500 0.1506 0.8750
7 Sc 0.7500 0.3494 0.3750
8 Sc 0.8494 0.7500 0.1250
9 Bi 0.0000 0.0000 0.5000
10 Bi 0.0000 0.5000 0.7500
11 Bi 0.5000 0.0000 0.2500
12 Bi 0.5000 0.5000 0.0000
13 F 0.0000 0.0000 0.0000
14 F 0.0000 0.5000 0.2500
15 F 0.5000 0.0000 0.7500
16 F 0.5000 0.5000 0.5000